DFT (PBE-GGA) results for a relaxed K2TaH crystal.

```
K2TaH
1.0
0.0000 4.1351 4.1351
4.1351 0.0000 4.1351
4.1351 4.1351 0.0000
K Ta H
2 1 1
Direct
0.7500 0.7500 0.7500
0.2500 0.2500 0.2500
0.5000 0.5000 0.5000
0.0000 0.0000 0.0000
```

Output
Distance to the lowest polymorph of the same formula in meV/atom: 630
VASP energy in eV/atom: -2.644

---

DFT (PBE-GGA) results for a relaxed NaTb3Nd4Se8 crystal.

```
NaTb3Nd4Se8
1.0
8.3249 0.0000 0.0000
0.0000 8.3682 0.0244
-4.1624 -4.1583 5.8897
Tb Se Nd Na
3 8 4 1
Direct
0.5000 0.5000 0.0000
0.5000 0.5000 0.5000
0.0000 0.5000 0.5000
0.2542 0.2619 0.0081
0.7539 0.2619 0.0081
0.7458 0.7381 0.9919
0.7538 0.2619 0.5077
0.2462 0.7381 0.4923
0.2540 0.2620 0.5080
0.2461 0.7381 0.9919
0.7460 0.7380 0.4920
0.5000 0.0000 0.5000
0.0000 0.0000 0.5000
0.0000 0.0000 0.0000
0.5000 0.0000 0.0000
0.0000 0.5000 0.0000
```

Output
Formation energy (no corrections) in eV per atom: -1.78
VASP energy in eV/atom: -5.666

---

DFT (PBE-GGA) results for a relaxed CaTb2S crystal.

```
CaTb2S
1.0
3.7613 0.0000 0.0000
1.8807 3.2574 0.0000
1.8807 1.0858 10.0723
Tb Ca S
2 1 1
Direct
0.8865 0.8865 0.3405
0.1135 0.1135 0.6595
0.0000 0.0000 0.0000
0.5000 0.5000 0.5000
```

Output
Formation energy (no corrections) in eV per atom: -0.80
VASP energy in eV/atom: -4.647

---

Which of these has the lowest VASP energy?
NaTb3Nd4Se8